1.
An optimized crystal structure of CsUPS6. Source: Alexandria via LeMat-Bulk, functional PBE.

The structure in POSCAR format:
```
CsUPS6
1.0
-4.581 4.030 -1.503
-5.125 0.421 3.611
3.620 5.781 4.464
Cs U P S
1 1 1 6
Cartesian
-0.960 9.810 2.961
-4.660 5.857 3.638
-1.425 4.374 2.935
-0.733 2.218 2.684
0.643 5.264 2.587
-2.189 6.489 3.299
-0.917 4.259 5.153
-3.544 3.581 3.198
-1.808 4.431 0.690
```

Results
**Energy relative to the elements, uncorrected**: -5.5 eV per formula unit



2.
An optimized crystal structure of CsVPS2. Source: Alexandria via LeMat-Bulk, functional PBE.

The structure in POSCAR format:
```
CsVPS2
1.0
-2.320 1.154 4.049
-2.597 -4.031 -0.339
3.274 -2.323 2.538
Cs P S V
1 1 2 1
Cartesian
-0.821 -2.600 3.124
1.637 -1.161 1.269
-1.299 -2.016 -0.169
-1.160 0.577 2.025
0.000 0.000 0.000
```

Results
**Energy relative to the elements, uncorrected**: -1.8 eV per formula unit



3.
An optimized crystal structure of CsVP2S8. Source: Alexandria via LeMat-Bulk, functional PBE.

The structure in POSCAR format:
```
CsVP2S8
1.0
5.948 0.000 0.000
2.974 5.151 0.000
2.974 1.717 10.186
Cs V P S
1 1 2 8
Cartesian
5.948 3.434 5.093
0.000 0.000 0.000
2.974 1.717 1.946
8.922 5.151 8.240
2.974 1.717 3.930
4.974 1.700 1.304
8.922 5.151 6.256
7.937 3.458 1.304
3.959 3.411 8.882
4.933 5.145 1.304
6.963 1.723 8.882
6.922 5.169 8.882
```

Results
**Energy relative to the elements, uncorrected**: -5.3 eV per formula unit



4.
An optimized crystal structure of CsVPS2. Source: Alexandria via LeMat-Bulk, functional PBE.

The structure in POSCAR format:
```
CsVPS2
1.0
5.247 0.000 0.000
0.000 5.247 0.000
0.000 0.000 5.577
Cs P S V
1 1 2 1
Cartesian
0.000 0.000 0.000
0.000 0.000 2.789
0.000 2.623 0.000
2.623 0.000 0.000
2.623 2.623 2.789
```

Results
**Energy relative to the elements, uncorrected**: 10.3 eV per formula unit



5.
An optimized crystal structure of CsP2WS8. Source: Alexandria via LeMat-Bulk, functional PBE.

The structure in POSCAR format:
```
CsP2WS8
1.0
-4.861 -3.261 -1.341
-0.641 -2.309 -5.506
3.035 -10.347 0.710
Cs P W S
1 2 1 8
Cartesian
-1.233 -7.958 -3.069
-0.889 -3.505 -1.702
-1.578 -12.412 -4.436
0.000 0.000 0.000
0.053 -5.147 -1.123
-2.829 -4.063 -2.339
-2.520 -10.769 -5.015
-4.641 -5.911 -4.632
2.175 -10.005 -1.505
-1.620 -4.501 -5.548
-0.846 -11.415 -0.589
0.363 -11.853 -3.798
```

Results
**Energy relative to the elements, uncorrected**: -4.4 eV per formula unit



6.
An optimized crystal structure of CsP2WS. Source: Alexandria via LeMat-Bulk, functional PBE.

The structure in POSCAR format:
```
CsP2WS
1.0
-1.076 4.394 -1.647
-3.558 0.339 3.227
3.168 2.007 3.283
Cs P S W
1 2 1 1
Cartesian
-0.733 3.370 2.431
-1.779 0.169 1.613
-0.538 2.197 -0.824
1.584 1.003 1.642
0.000 0.000 0.000
```

Results
**Energy relative to the elements, uncorrected**: -0.2 eV per formula unit



7.
An optimized crystal structure of CsP2WS. Source: Alexandria via LeMat-Bulk, functional PBE.

The structure in POSCAR format:
```
CsP2WS
1.0
-1.795 -4.866 -1.599
5.074 -1.920 0.146
-0.660 -1.371 4.911
Cs P S W
1 2 1 1
Cartesian
0.000 0.000 0.000
2.537 -0.960 0.073
-0.898 -2.433 -0.800
-0.330 -0.685 2.456
1.310 -4.078 1.729
```

Results
**Energy relative to the elements, uncorrected**: 13.9 eV per formula unit



8.
An optimized crystal structure of CsPWS2. Source: Alexandria via LeMat-Bulk, functional PBE.

The structure in POSCAR format:
```
CsPWS2
1.0
5.135 0.000 0.000
0.000 5.135 0.000
0.000 0.000 5.545
Cs P S W
1 1 2 1
Cartesian
0.000 0.000 0.000
0.000 0.000 2.772
0.000 2.568 0.000
2.568 0.000 0.000
2.568 2.568 2.772
```

Results
**Energy relative to the elements, uncorrected**: 14.0 eV per formula unit



9.
An optimized crystal structure of CsPWS2. Source: Alexandria via LeMat-Bulk, functional PBE.

The structure in POSCAR format:
```
CsPWS2
1.0
4.876 0.000 0.000
0.000 4.876 0.000
0.000 0.000 4.819
Cs P S W
1 1 2 1
Cartesian
2.438 2.438 2.410
0.000 0.000 2.410
0.000 2.438 0.000
2.438 0.000 0.000
0.000 0.000 0.000
```

Results
**Energy relative to the elements, uncorrected**: -1.3 eV per formula unit



10.
An optimized crystal structure of CsYPS2. Source: Alexandria via LeMat-Bulk, functional PBE.

The structure in POSCAR format:
```
CsYPS2
1.0
-3.736 1.201 3.669
3.205 -1.883 3.880
2.254 5.114 0.620
Cs Y S P
1 1 2 1
Cartesian
0.861 2.217 4.085
0.000 0.000 0.000
1.602 -0.941 1.940
-1.868 0.601 1.835
1.127 2.557 0.310
```

Results
**Energy relative to the elements, uncorrected**: -3.4 eV per formula unit



11.
An optimized crystal structure of CsYPS2. Source: Alexandria via LeMat-Bulk, functional PBE.

The structure in POSCAR format:
```
CsYPS2
1.0
5.149 0.000 0.000
0.000 5.149 0.000
0.000 0.000 5.588
Cs Y S P
1 1 2 1
Cartesian
0.000 0.000 0.000
2.575 2.575 2.794
0.000 2.575 0.000
2.575 0.000 0.000
0.000 0.000 2.794
```

Results
**Energy relative to the elements, uncorrected**: 4.0 eV per formula unit



12.
An optimized crystal structure of Cs2ZrPS6. Source: Alexandria via LeMat-Bulk, functional PBE.

The structure in POSCAR format:
```
Cs2ZrPS6
1.0
6.030 0.000 0.000
0.000 7.565 0.000
0.000 -3.783 6.552
Cs Zr P S
2 1 1 6
Cartesian
1.442 0.000 4.368
4.588 3.783 2.184
3.015 0.000 0.000
0.000 0.000 0.000
4.752 0.000 1.878
4.752 -2.156 5.613
4.752 2.156 5.613
1.278 5.939 0.939
1.278 1.626 0.939
1.278 3.783 4.674
```

Results
**Energy relative to the elements, uncorrected**: -7.9 eV per formula unit



13.
An optimized crystal structure of CsZrPS2. Source: Alexandria via LeMat-Bulk, functional PBE.

The structure in POSCAR format:
```
CsZrPS2
1.0
5.127 0.000 0.000
0.000 5.127 0.000
0.000 0.000 5.183
Cs P S Zr
1 1 2 1
Cartesian
2.564 2.564 2.591
0.000 0.000 2.591
0.000 2.564 0.000
2.564 0.000 0.000
0.000 0.000 0.000
```

Results
**Energy relative to the elements, uncorrected**: -3.8 eV per formula unit



14.
An optimized crystal structure of CsZrPS2. Source: Alexandria via LeMat-Bulk, functional PBE.

The structure in POSCAR format:
```
CsZrPS2
1.0
-1.454 4.489 2.038
-4.915 -1.482 -0.241
0.405 -2.166 5.059
Cs P S Zr
1 1 2 1
Cartesian
0.000 0.000 0.000
0.202 -1.083 2.529
-2.458 -0.741 -0.121
-0.727 2.244 1.019
-2.982 0.420 3.428
```

Results
**Energy relative to the elements, uncorrected**: 7.5 eV per formula unit



15.
An optimized crystal structure of CsZrPS6. Source: Alexandria via LeMat-Bulk, functional PBE.

The structure in POSCAR format:
```
CsZrPS6
1.0
6.306 0.000 0.000
3.153 5.461 0.000
0.000 0.000 8.038
Cs Zr P S
1 1 1 6
Cartesian
6.306 0.000 8.038
6.306 3.640 4.019
3.153 1.820 4.019
1.350 1.894 2.722
2.316 0.222 5.316
4.955 1.894 5.316
2.187 3.344 5.316
4.118 3.344 2.722
3.990 0.222 2.722
```

Results
**Energy relative to the elements, uncorrected**: -4.4 eV per formula unit



16.
An optimized crystal structure of Cs2SbP2. Source: Alexandria via LeMat-Bulk, functional PBE.

The structure in POSCAR format:
```
Cs2SbP2
1.0
7.345 0.000 0.000
0.000 7.345 0.000
0.000 0.000 5.903
Cs Sb P
4 2 4
Cartesian
1.354 5.027 2.952
5.027 5.991 2.952
5.991 2.318 2.952
2.318 1.354 2.952
0.000 0.000 0.000
3.672 3.672 0.000
2.903 6.576 0.000
6.576 4.442 0.000
4.442 0.769 0.000
0.769 2.903 0.000
```

Results
**Energy relative to the elements, uncorrected**: -0.9 eV per formula unit



17.
An optimized crystal structure of Cs2SbP. Source: Alexandria via LeMat-Bulk, functional PBE.

The structure in POSCAR format:
```
Cs2SbP
1.0
0.000 4.369 4.369
4.369 0.000 4.369
4.369 4.369 0.000
Cs Sb P
2 1 1
Cartesian
2.185 2.185 2.185
6.554 6.554 6.554
4.369 4.369 4.369
0.000 0.000 0.000
```

Results
**Energy relative to the elements, uncorrected**: 1.5 eV per formula unit



18.
An optimized crystal structure of Cs3Sb2P2. Source: Alexandria via LeMat-Bulk, functional PBE.

The structure in POSCAR format:
```
Cs3Sb2P2
1.0
3.975 0.001 0.951
1.794 6.706 1.275
-0.559 -0.703 11.129
Cs Sb P
3 2 2
Cartesian
0.000 0.000 0.000
3.111 2.831 4.552
2.099 3.172 8.803
0.536 0.238 6.548
4.674 5.766 6.807
3.387 3.079 12.196
1.823 2.925 1.159
```

Results
**Energy relative to the elements, uncorrected**: -2.3 eV per formula unit



19.
An optimized crystal structure of Cs2SbP. Source: Alexandria via LeMat-Bulk, functional PBE.

The structure in POSCAR format:
```
Cs2SbP
1.0
6.966 -0.001 -0.001
0.000 7.708 0.425
0.000 0.628 12.746
Cs Sb P
8 4 4
Cartesian
4.327 7.397 11.077
2.639 0.938 2.094
0.845 5.106 8.678
6.121 3.229 4.493
5.738 2.973 12.639
1.228 5.363 0.532
2.255 1.822 6.692
4.711 6.513 6.479
2.688 4.618 3.858
4.278 3.717 9.313
6.172 7.257 3.153
0.794 1.078 10.018
5.934 1.972 8.340
1.032 6.363 4.831
2.451 2.823 10.990
4.515 5.512 2.181
```

Results
**Energy relative to the elements, uncorrected**: -1.5 eV per formula unit



20.
An optimized crystal structure of CsSbP2Se8. Source: Alexandria via LeMat-Bulk, functional PBE.

The structure in POSCAR format:
```
CsSbP2Se8
1.0
-2.029 -1.137 -5.910
4.196 -0.745 -4.710
1.023 -11.470 -1.557
Cs Sb P Se
1 1 2 8
Cartesian
1.595 -6.676 -6.089
0.000 0.000 0.000
0.786 -2.906 -3.123
2.405 -10.446 -9.054
0.845 -5.031 -2.735
0.227 -2.702 -5.303
2.346 -8.321 -9.443
0.836 -3.284 -8.579
2.354 -10.068 -3.598
3.411 -2.821 -6.436
-0.221 -10.531 -5.741
2.964 -10.650 -6.874
```

Results
**Energy relative to the elements, uncorrected**: -2.3 eV per formula unit



21.
An optimized crystal structure of CsSb2TeP. Source: Alexandria via LeMat-Bulk, functional PBE.

The structure in POSCAR format:
```
CsSb2TeP
1.0
-1.347 -5.188 0.821
1.535 0.421 5.184
-5.271 1.595 1.431
Cs Sb Te P
1 2 1 1
Cartesian
-2.542 -1.586 3.718
0.767 0.211 2.592
-0.674 -2.594 0.410
-2.635 0.798 0.715
0.000 0.000 0.000
```

Results
**Energy relative to the elements, uncorrected**: 0.9 eV per formula unit



22.
An optimized crystal structure of CsSb2TeP. Source: Alexandria via LeMat-Bulk, functional PBE.

The structure in POSCAR format:
```
CsSb2TeP
1.0
-5.072 0.487 -4.025
-3.515 -3.743 3.976
-2.094 5.471 3.300
Cs Sb Te P
1 2 1 1
Cartesian
0.000 0.000 0.000
-1.757 -1.871 1.988
-2.536 0.244 -2.013
-1.047 2.736 1.650
-5.340 1.108 1.625
```

Results
**Energy relative to the elements, uncorrected**: 9.3 eV per formula unit



23.
An optimized crystal structure of CsSbTe2P. Source: Alexandria via LeMat-Bulk, functional PBE.

The structure in POSCAR format:
```
CsSbTe2P
1.0
-4.567 1.690 2.983
-3.408 -2.785 -3.640
0.344 -4.279 2.951
Cs Sb Te P
1 1 2 1
Cartesian
-3.815 -2.687 1.147
0.172 -2.139 1.476
-1.704 -1.392 -1.820
-2.284 0.845 1.492
0.000 0.000 0.000
```

Results
**Energy relative to the elements, uncorrected**: 0.2 eV per formula unit



24.
An optimized crystal structure of CsYSbP2. Source: Alexandria via LeMat-Bulk, functional PBE.

The structure in POSCAR format:
```
CsYSbP2
1.0
-4.621 -2.421 0.646
1.372 -3.762 -4.290
2.183 -3.227 3.528
Cs Sb Y P
1 1 1 2
Cartesian
0.000 0.000 0.000
0.686 -1.881 -2.145
-0.533 -4.705 -0.058
1.092 -1.614 1.764
-2.310 -1.210 0.323
```

Results
**Energy relative to the elements, uncorrected**: 6.4 eV per formula unit



25.
An optimized crystal structure of CsScP3. Source: Alexandria via LeMat-Bulk, functional PBE.

The structure in POSCAR format:
```
CsScP3
1.0
-0.785 -2.032 -4.764
5.176 -0.472 -0.651
-0.177 -4.805 2.079
Cs Sc P
1 1 3
Cartesian
0.000 0.000 0.000
2.107 -3.655 -1.668
2.588 -0.236 -0.326
-0.088 -2.402 1.040
-0.392 -1.016 -2.382
```

Results
**Calculated total energy**: -3.0177 eV per atom



26.
An optimized crystal structure of CsScP3. Source: Alexandria via LeMat-Bulk, functional PBE.

The structure in POSCAR format:
```
CsScP3
1.0
-4.547 2.229 -0.820
-2.135 -4.612 -0.695
-1.039 -0.275 5.016
Cs Sc P
1 1 3
Cartesian
-3.861 -1.329 1.750
0.000 0.000 0.000
-1.068 -2.306 -0.347
-0.520 -0.137 2.508
-2.273 1.114 -0.410
```

Results
**Calculated total energy**: -4.6821 eV per atom



V in Å³/cell, matching the order above: 279; 110; 312; 154; 320; 116; 151; 146; 115; 162; 148; 299; 136; 146; 277; 318; 167; 303; 683; 385; 167; 284; 170; 162; 144; 135